No. 1
Here is a relaxed CeSb2Pd crystal from the Alexandria database. Energies are from GGA-PBEsol.

```
data_CeSb2Pd
_cell_length_a 4.3622
_cell_length_b 4.3622
_cell_length_c 9.6383
_cell_angle_alpha 90.00
_cell_angle_beta 90.00
_cell_angle_gamma 90.00
_symmetry_space_group_name_H-M 'P 4/n m m'
_symmetry_Int_Tables_number 129
loop_
_symmetry_equiv_pos_as_xyz
'x,y,z'
'-x,-y,-z'
'-y+1/2,x,z'
'y+1/2,-x,-z'
'-x+1/2,-y+1/2,z'
'x+1/2,y+1/2,-z'
'y,-x+1/2,z'
'-y,x+1/2,-z'
'x+1/2,-y,-z'
'-x+1/2,y,z'
'-y,-x,-z'
'y,x,z'
'-x,y+1/2,-z'
'x,-y+1/2,z'
'y+1/2,x+1/2,-z'
'-y+1/2,-x+1/2,z'
loop_
_atom_site_label
_atom_site_type_symbol
_atom_site_fract_x
_atom_site_fract_y
_atom_site_fract_z
Ce1 Ce 0.2500 0.2500 0.2458
Sb1 Sb 0.2500 0.2500 0.8313
Sb2 Sb 0.2500 0.7500 0.5000
Pd1 Pd 0.2500 0.7500 0.0000
```

## Properties
Its total magnetization is 0.0 μB/f.u. The calculation puts the raw formation energy at -3.39 eV/f.u. The calculation puts the total energy at -50.12 eV for the cell shown.


No. 2
Here is a relaxed CeSi2Pd2 crystal from the Alexandria database. Energies are from GGA-PBEsol.

```
data_CeSi2Pd2
_cell_length_a 4.1206
_cell_length_b 4.1206
_cell_length_c 9.9965
_cell_angle_alpha 90.00
_cell_angle_beta 90.00
_cell_angle_gamma 90.00
_symmetry_space_group_name_H-M 'I 4/m m m'
_symmetry_Int_Tables_number 139
_symmetry_space_group_name_Hall '-I 4 2'
loop_
_atom_site_label
_atom_site_type_symbol
_atom_site_fract_x
_atom_site_fract_y
_atom_site_fract_z
Ce1 Ce 0.0000 0.0000 0.0000
Si1 Si 0.0000 0.0000 0.3835
Pd1 Pd 0.0000 0.5000 0.2500
```

## Properties
Its total magnetization is 0.0 μB/f.u. The calculation puts the raw formation energy at -4.71 eV/f.u. The calculation puts the total energy at -69.43 eV for the cell shown.


No. 3
Here is a relaxed CeSiPd crystal from the Alexandria database. Energies are from GGA-PBEsol.

```
data_CeSiPd
_cell_length_a 5.6291
_cell_length_b 5.6328
_cell_length_c 7.8848
_cell_angle_alpha 90.00
_cell_angle_beta 115.47
_cell_angle_gamma 90.00
_symmetry_space_group_name_H-M 'P 1 21/c 1'
_symmetry_Int_Tables_number 14
_symmetry_space_group_name_Hall '-P 2ybc'
loop_
_atom_site_label
_atom_site_type_symbol
_atom_site_fract_x
_atom_site_fract_y
_atom_site_fract_z
Ce1 Ce 0.2223 0.1279 0.3809
Si1 Si 0.1874 0.6353 0.5271
Pd1 Pd 0.3973 0.6032 0.2995
```

## Properties
Its total magnetization is 0.5 μB/f.u. The calculation puts the raw formation energy at -2.46 eV/f.u. The calculation puts the total energy at -83.06 eV for the cell shown.


No. 4
Here is a relaxed Ce2Si5Pd3 crystal from the Alexandria database. Energies are from GGA-PBEsol.

```
data_Ce2Si5Pd3
_cell_length_a 9.8439
_cell_length_b 11.6393
_cell_length_c 5.9284
_cell_angle_alpha 90.00
_cell_angle_beta 90.00
_cell_angle_gamma 90.00
_symmetry_space_group_name_H-M 'I b a m'
_symmetry_Int_Tables_number 72
_symmetry_space_group_name_Hall '-I 2 2c'
loop_
_atom_site_label
_atom_site_type_symbol
_atom_site_fract_x
_atom_site_fract_y
_atom_site_fract_z
Ce1 Ce 0.2318 0.1289 0.0000
Si1 Si 0.0000 0.0000 0.2500
Si2 Si 0.0000 0.2764 0.2500
Si3 Si 0.1522 0.3878 0.0000
Pd1 Pd 0.0000 0.5000 0.2500
Pd2 Pd 0.1077 0.1389 0.5000
```

## Properties
Its total magnetization is 1.0 μB/f.u. The calculation puts the raw formation energy at -8.65 eV/f.u. The calculation puts the total energy at -273.82 eV for the cell shown.


No. 5
Here is a relaxed Ce2SnPd2 crystal from the Alexandria database. Energies are from GGA-PBEsol.

```
data_Ce2SnPd2
_cell_length_a 7.6465
_cell_length_b 7.6465
_cell_length_c 3.7459
_cell_angle_alpha 90.00
_cell_angle_beta 90.00
_cell_angle_gamma 90.00
_symmetry_space_group_name_H-M 'P 4/m b m'
_symmetry_Int_Tables_number 127
_symmetry_space_group_name_Hall '-P 4 2ab'
loop_
_atom_site_label
_atom_site_type_symbol
_atom_site_fract_x
_atom_site_fract_y
_atom_site_fract_z
Ce1 Ce 0.1766 0.3234 0.0000
Sn1 Sn 0.0000 0.0000 0.5000
Pd1 Pd 0.1281 0.6281 0.5000
```

## Properties
Its total magnetization is 0.2 μB/f.u. The formation energy comes out at -3.9 eV per formula unit. The calculation puts the total energy at -66.58 eV for the cell shown.


No. 6
Here is a relaxed Ce8SnPd24 crystal from the Alexandria database. Energies are from GGA-PBEsol.

```
data_Ce8SnPd24
_cell_length_a 8.3272
_cell_length_b 8.3272
_cell_length_c 8.3272
_cell_angle_alpha 90.00
_cell_angle_beta 90.00
_cell_angle_gamma 90.00
_symmetry_space_group_name_H-M 'P m -3 m'
_symmetry_Int_Tables_number 221
_symmetry_space_group_name_Hall '-P 4 2 3'
loop_
_atom_site_label
_atom_site_type_symbol
_atom_site_fract_x
_atom_site_fract_y
_atom_site_fract_z
Ce1 Ce 0.2468 0.2468 0.2468
Sn1 Sn 0.0000 0.0000 0.0000
Pd1 Pd 0.0000 0.0000 0.3192
Pd2 Pd 0.0000 0.2688 0.5000
Pd3 Pd 0.2558 0.5000 0.5000
```

## Properties
Its total magnetization is 3.1 μB/f.u. The formation energy comes out at -25.1 eV per formula unit. The calculation puts the total energy at -225.13 eV for the cell shown.


No. 7
Here is a relaxed CeTlPd crystal from the Alexandria database. Energies are from GGA-PBEsol.

```
data_CeTlPd
_cell_length_a 7.7062
_cell_length_b 7.7062
_cell_length_c 3.9068
_cell_angle_alpha 90.00
_cell_angle_beta 90.00
_cell_angle_gamma 120.00
_symmetry_space_group_name_H-M 'P -6 2 m'
_symmetry_Int_Tables_number 189
_symmetry_space_group_name_Hall 'P -6 -2'
loop_
_atom_site_label
_atom_site_type_symbol
_atom_site_fract_x
_atom_site_fract_y
_atom_site_fract_z
Ce1 Ce 0.0000 0.4080 0.0000
Tl1 Tl 0.0000 0.7390 0.5000
Pd1 Pd 0.0000 0.0000 0.0000
Pd2 Pd 0.3333 0.6667 0.5000
```

## Properties
Its total magnetization is 0.4 μB/f.u. The formation energy comes out at -1.7 eV per formula unit. The calculation puts the total energy at -50.58 eV for the cell shown.


No. 8
Here is a relaxed CeZnPd crystal from the Alexandria database. Energies are from GGA-PBEsol.

```
data_CeZnPd
_cell_length_a 7.1479
_cell_length_b 7.1479
_cell_length_c 3.9613
_cell_angle_alpha 90.00
_cell_angle_beta 90.00
_cell_angle_gamma 120.00
_symmetry_space_group_name_H-M 'P -6 2 m'
_symmetry_Int_Tables_number 189
_symmetry_space_group_name_Hall 'P -6 -2'
loop_
_atom_site_label
_atom_site_type_symbol
_atom_site_fract_x
_atom_site_fract_y
_atom_site_fract_z
Ce1 Ce 0.0000 0.5869 0.0000
Zn1 Zn 0.0000 0.2415 0.5000
Pd1 Pd 0.0000 0.0000 0.0000
Pd2 Pd 0.3333 0.6667 0.5000
```

## Properties
Its total magnetization is 0.2 μB/f.u. The formation energy comes out at -1.7 eV per formula unit. The calculation puts the total energy at -47.56 eV for the cell shown. For the relative energy among the computed polymorphs, the calculation gives 3 meV/atom.


No. 9
Here is a relaxed CeZnPd crystal from the Alexandria database. Energies are from GGA-PBEsol.

```
data_CeZnPd
_cell_length_a 6.6644
_cell_length_b 4.3929
_cell_length_c 7.8760
_cell_angle_alpha 90.00
_cell_angle_beta 90.00
_cell_angle_gamma 90.00
_symmetry_space_group_name_H-M 'P n m a'
_symmetry_Int_Tables_number 62
_symmetry_space_group_name_Hall '-P 2ac 2n'
loop_
_atom_site_label
_atom_site_type_symbol
_atom_site_fract_x
_atom_site_fract_y
_atom_site_fract_z
Ce1 Ce 0.0308 0.2500 0.1982
Zn1 Zn 0.1565 0.2500 0.5691
Pd1 Pd 0.2411 0.7500 0.3947
```

## Properties
Its total magnetization is 0.4 μB/f.u. The formation energy comes out at -1.7 eV per formula unit. The calculation puts the total energy at -63.45 eV for the cell shown. For the relative energy among the computed polymorphs, the calculation gives 0 meV/atom.


No. 10
Here is a relaxed CePm3 crystal from the Alexandria database. Energies are from GGA-PBEsol.

```
data_CePm3
_cell_length_a 4.9701
_cell_length_b 4.9701
_cell_length_c 10.0169
_cell_angle_alpha 90.00
_cell_angle_beta 90.00
_cell_angle_gamma 90.00
_symmetry_space_group_name_H-M 'I 4/m m m'
_symmetry_Int_Tables_number 139
_symmetry_space_group_name_Hall '-I 4 2'
loop_
_atom_site_label
_atom_site_type_symbol
_atom_site_fract_x
_atom_site_fract_y
_atom_site_fract_z
Ce1 Ce 0.0000 0.0000 0.0000
Pm1 Pm 0.0000 0.0000 0.5000
Pm2 Pm 0.0000 0.5000 0.2500
```

## Properties
Its total magnetization is 0.9 μB/f.u. The formation energy comes out at 0.4 eV per formula unit. The calculation puts the total energy at -43.12 eV for the cell shown. For the relative energy among the computed polymorphs, the calculation gives 0 meV/atom.


No. 11
Here is a relaxed CePm3 crystal from the Alexandria database. Energies are from GGA-PBEsol.

```
data_CePm3
_cell_length_a 7.0683
_cell_length_b 7.0683
_cell_length_c 5.7506
_cell_angle_alpha 90.00
_cell_angle_beta 90.00
_cell_angle_gamma 120.00
_symmetry_space_group_name_H-M 'P 63/m m c'
_symmetry_Int_Tables_number 194
_symmetry_space_group_name_Hall '-P 6c 2c'
loop_
_atom_site_label
_atom_site_type_symbol
_atom_site_fract_x
_atom_site_fract_y
_atom_site_fract_z
Ce1 Ce 0.3333 0.6667 0.2500
Pm1 Pm 0.1678 0.3356 0.7500
```

## Properties
Its total magnetization is 0.1 μB/f.u. The formation energy comes out at 0.5 eV per formula unit. The calculation puts the total energy at -43.04 eV for the cell shown. For the relative energy among the computed polymorphs, the calculation gives 10 meV/atom.


No. 12
Here is a relaxed CePt5 crystal from the Alexandria database. Energies are from GGA-PBEsol.

```
data_CePt5
_cell_length_a 5.3105
_cell_length_b 5.3105
_cell_length_c 4.3777
_cell_angle_alpha 90.00
_cell_angle_beta 90.00
_cell_angle_gamma 120.00
_symmetry_space_group_name_H-M 'P 6/m m m'
_symmetry_Int_Tables_number 191
_symmetry_space_group_name_Hall '-P 6 2'
loop_
_atom_site_label
_atom_site_type_symbol
_atom_site_fract_x
_atom_site_fract_y
_atom_site_fract_z
Ce1 Ce 0.0000 0.0000 0.0000
Pt1 Pt 0.0000 0.5000 0.5000
Pt2 Pt 0.3333 0.6667 0.0000
```

## Properties
Its total magnetization is 0.3 μB/f.u. The formation energy comes out at -4.0 eV per formula unit. The calculation puts the total energy at -45.43 eV for the cell shown.